# GGA-PBE KSbPb, optimized geometry
# * calculated density: 5.17 g/cm3
# * uncorrected energy: -3.247 eV/atom
# * energy relative to the elements, uncorrected: -0.8 eV/f.u.
# * size of the total moment: 0.00 μB per cell
data_KSbPb
_space_group_name_H-M_alt 'P 4/n m m'
_space_group_IT_number 129
_cell_length_a 5.318
_cell_length_b 5.318
_cell_length_c 8.363
_cell_angle_alpha 90.00
_cell_angle_beta 90.00
_cell_angle_gamma 90.00
loop_
_space_group_symop_operation_xyz
'x,y,z'
'-x,-y,-z'
'-y+1/2,x,z'
'y+1/2,-x,-z'
'-x+1/2,-y+1/2,z'
'x+1/2,y+1/2,-z'
'y,-x+1/2,z'
'-y,x+1/2,-z'
'x+1/2,-y,-z'
'-x+1/2,y,z'
'-y,-x,-z'
'y,x,z'
'-x,y+1/2,-z'
'x,-y+1/2,z'
'y+1/2,x+1/2,-z'
'-y+1/2,-x+1/2,z'
loop_
_atom_site_label
_atom_site_fract_x
_atom_site_fract_y
_atom_site_fract_z
K1 0.250 0.250 0.154
Sb1 0.250 0.250 0.724
Pb1 0.250 0.750 0.500